DFT (PBE with a Hubbard U) results for a relaxed structure of Rb2MnGeO4.

The structure in POSCAR format:
```
Rb2MnGeO4
1.0
0.0000 6.1225 10.5321
2.6771 0.0000 10.5321
2.6771 6.1225 0.0000
Rb Mn Ge O
4 2 2 8
Direct
0.0521 0.0521 0.6979
0.3021 0.3021 0.9479
0.6979 0.6979 0.0521
0.9479 0.9479 0.3021
0.1250 0.1250 0.1250
0.8750 0.8750 0.8750
0.3750 0.3750 0.3750
0.6250 0.6250 0.6250
0.0323 0.6304 0.5476
0.2897 0.5476 0.6304
0.3696 0.9677 0.7103
0.4524 0.7103 0.9677
0.5476 0.2897 0.0323
0.6304 0.0323 0.2897
0.7103 0.4524 0.3696
0.9677 0.3696 0.4524
```

Computed properties:
- Raw total energy: -5.80 eV per atom
- Symmetry: No. 70